No. 1
Here is a relaxed structure of PrSm2Ho5Th from the Alexandria database. Energies are from PBE-GGA.

Lattice parameters (Å, degrees): 5.6452 10.4435 10.4643 90.00 90.00 105.68
Positions (direct):
Ho (0.5218, 0.0436, 0.2364)
Ho (0.7019, 0.4038, 0.2103)
Ho (0.6127, 0.2254, 0.5241)
Th (0.7988, 0.5975, 0.5147)
Sm (0.8868, 0.7735, 0.8199)
Pr (0.4128, 0.8256, 0.4476)
Ho (0.7244, 0.4487, 0.8175)
Ho (0.2756, 0.5513, 0.3175)
Th (0.2012, 0.4025, 0.0147)
Ho (0.3873, 0.7746, 0.0241)
Sm (0.1132, 0.2265, 0.3199)
Pr (0.5872, 0.1744, 0.9476)
Ho (0.9834, 0.9668, 0.5241)
Sm (0.8841, 0.7682, 0.2293)
Ho (0.2981, 0.5962, 0.7103)
Ho (0.4782, 0.9564, 0.7364)
Ho (0.0166, 0.0332, 0.0241)
Sm (0.1159, 0.2318, 0.7293)

Properties
- size of the total moment (μB/atom) = 0.000
- energy (Ry/atom) = -0.3514


No. 2
Here is a relaxed structure of Pr2SmHo4Th from the Alexandria database. Energies are from PBE-GGA.

Lattice parameters (Å, degrees): 5.1268 5.1176 11.2174 62.87 90.00 90.00
Positions (direct):
Ho (0.5000, 0.2550, 0.7454)
Sm (0.5000, 0.5000, 0.0000)
Pr (0.5000, 0.0000, 0.5000)
Ho (0.5000, 0.7451, 0.2546)
Pr (0.0000, 0.0000, 0.0000)
Ho (0.0000, 0.7546, 0.7454)
Ho (0.0000, 0.2454, 0.2546)
Th (0.0000, 0.5000, 0.5000)

Properties
- size of the total moment (μB/atom) = 0.000
- energy (Ry/atom) = -0.3653


No. 3
Here is a relaxed structure of Pr6Sm2HoTh from the Alexandria database. Energies are from PBE-GGA.

Lattice parameters (Å, degrees): 10.0133 8.9226 8.9226 116.75 95.00 95.00
Positions (direct):
Pr (0.8802, 0.3004, 0.5057)
Ho (0.2500, 0.4067, 0.5933)
Pr (0.8111, 0.4229, 0.9889)
Sm (0.5474, 0.1951, 0.2852)
Pr (0.3111, 0.9889, 0.4229)
Pr (0.3802, 0.5057, 0.3004)
Pr (0.1889, 0.5771, 0.0111)
Ho (0.7500, 0.5933, 0.4067)
Pr (0.6889, 0.0111, 0.5771)
Sm (0.4526, 0.8049, 0.7148)
Th (0.7500, 0.0214, 0.9786)
Pr (0.4446, 0.2501, 0.8904)
Pr (0.1198, 0.6996, 0.4943)
Th (0.2500, 0.9786, 0.0214)
Pr (0.0554, 0.1096, 0.7499)
Sm (0.0474, 0.2852, 0.1951)
Pr (0.5554, 0.7499, 0.1096)
Sm (0.9526, 0.7148, 0.8049)
Pr (0.6198, 0.4943, 0.6996)
Pr (0.9446, 0.8904, 0.2501)

Properties
- size of the total moment (μB/atom) = 0.000
- energy (Ry/atom) = -0.3579


No. 4
Here is a relaxed structure of Pr5Sm2HoTh from the Alexandria database. Energies are from PBE-GGA.

Lattice parameters (Å, degrees): 5.4775 11.3624 10.6427 90.00 90.00 103.95
Positions (direct):
Pr (0.5001, 0.0002, 0.7580)
Pr (0.7230, 0.4459, 0.8168)
Sm (0.1126, 0.2251, 0.2533)
Sm (0.8871, 0.7743, 0.2628)
Pr (0.6276, 0.2552, 0.5082)
Pr (0.9981, 0.9963, 0.0081)
Pr (0.0018, 0.0037, 0.5081)
Pr (0.7226, 0.4452, 0.2002)
Ho (0.6022, 0.2045, 0.0081)
Sm (0.1129, 0.2257, 0.7628)
Ho (0.3978, 0.7955, 0.5081)
Pr (0.2771, 0.5541, 0.3168)
Pr (0.2774, 0.5548, 0.7002)
Th (0.7887, 0.5774, 0.5084)
Sm (0.8874, 0.7749, 0.7533)
Pr (0.4999, 0.9998, 0.2580)
Pr (0.3724, 0.7448, 0.0083)
Th (0.2113, 0.4226, 0.0084)

Properties
- size of the total moment (μB/atom) = 0.000
- energy (Ry/atom) = -0.3602


Please write out number 4 again, unchanged.
Here is a relaxed structure of Pr5Sm2HoTh from the Alexandria database. Energies are from PBE-GGA.

Lattice parameters (Å, degrees): 5.4775 11.3624 10.6427 90.00 90.00 103.95
Positions (direct):
Pr (0.5001, 0.0002, 0.7580)
Pr (0.7230, 0.4459, 0.8168)
Sm (0.1126, 0.2251, 0.2533)
Sm (0.8871, 0.7743, 0.2628)
Pr (0.6276, 0.2552, 0.5082)
Pr (0.9981, 0.9963, 0.0081)
Pr (0.0018, 0.0037, 0.5081)
Pr (0.7226, 0.4452, 0.2002)
Ho (0.6022, 0.2045, 0.0081)
Sm (0.1129, 0.2257, 0.7628)
Ho (0.3978, 0.7955, 0.5081)
Pr (0.2771, 0.5541, 0.3168)
Pr (0.2774, 0.5548, 0.7002)
Th (0.7887, 0.5774, 0.5084)
Sm (0.8874, 0.7749, 0.7533)
Pr (0.4999, 0.9998, 0.2580)
Pr (0.3724, 0.7448, 0.0083)
Th (0.2113, 0.4226, 0.0084)

Properties
- size of the total moment (μB/atom) = 0.000
- energy (Ry/atom) = -0.3602


Q: energy of number 1 (PrSm2Ho5Th)?
A: -0.3514 Ry/atom


What did the third record say?
Here is a relaxed structure of Pr6Sm2HoTh from the Alexandria database. Energies are from PBE-GGA.

Lattice parameters (Å, degrees): 10.0133 8.9226 8.9226 116.75 95.00 95.00
Positions (direct):
Pr (0.8802, 0.3004, 0.5057)
Ho (0.2500, 0.4067, 0.5933)
Pr (0.8111, 0.4229, 0.9889)
Sm (0.5474, 0.1951, 0.2852)
Pr (0.3111, 0.9889, 0.4229)
Pr (0.3802, 0.5057, 0.3004)
Pr (0.1889, 0.5771, 0.0111)
Ho (0.7500, 0.5933, 0.4067)
Pr (0.6889, 0.0111, 0.5771)
Sm (0.4526, 0.8049, 0.7148)
Th (0.7500, 0.0214, 0.9786)
Pr (0.4446, 0.2501, 0.8904)
Pr (0.1198, 0.6996, 0.4943)
Th (0.2500, 0.9786, 0.0214)
Pr (0.0554, 0.1096, 0.7499)
Sm (0.0474, 0.2852, 0.1951)
Pr (0.5554, 0.7499, 0.1096)
Sm (0.9526, 0.7148, 0.8049)
Pr (0.6198, 0.4943, 0.6996)
Pr (0.9446, 0.8904, 0.2501)

Properties
- size of the total moment (μB/atom) = 0.000
- energy (Ry/atom) = -0.3579